Record 1
First-principles (PBE-GGA) data for an optimized crystal structure of Pr2HoH, as listed in the Alexandria database.

Results
Density of states at the Fermi level ... 3.16 states/eV/f.u.
DFT total energy ... -18.0 eV per cell
ρ ... 7.1 g/cm³

Cell: 3.6938 3.6938 9.1269 Å, 78.33 78.33 60.00°
With the nearest neighbours (Å) after each atom.
Fractional positions:
Pr  0.7232  0.7232  0.8304  3 H 2.61
Pr  0.2768  0.2768  0.1696  3 H 2.61
H  0.0000  0.0000  0.0000  6 Pr 2.61
Ho  0.5000  0.5000  0.5000  6 Pr 3.63, 6 Ho 3.69

Record 2
First-principles (PBE-GGA) data for an optimized crystal structure of PrHo2H8, as listed in the Alexandria database.

Results
Density of states at the Fermi level ... 1.08 states/eV/f.u.
DFT total energy ... -47.4 eV per cell
ρ ... 7.4 g/cm³

Cell: 3.6839 5.2703 6.3995 Å, 114.32 106.73 90.00°
With the nearest neighbours (Å) after each atom.
Fractional positions:
Pr  0.5000  0.0000  0.0000  12 H 2.33-2.54
H  0.1575  0.1575  0.3151  8 H 2.29-2.33, 2 Pr 2.54
H  0.0000  0.7110  0.0000  2 Ho 2.19, 3 H 2.22-2.32, 2 Pr 2.39
H  0.0000  0.2890  0.0000  2 Ho 2.19, 3 H 2.22-2.32, 2 Pr 2.39
H  0.3331  0.5642  0.6662  3 Ho 2.21-2.29, 4 H 2.29-2.44, 1 Pr 2.33
H  0.6669  0.8980  0.3338  3 Ho 2.21-2.29, 4 H 2.29-2.44, 1 Pr 2.33
H  0.6669  0.4358  0.3338  3 Ho 2.21-2.29, 4 H 2.29-2.44, 1 Pr 2.33
H  0.3331  0.1020  0.6662  3 Ho 2.21-2.29, 4 H 2.29-2.44, 1 Pr 2.33
H  0.8425  0.8425  0.6849  8 H 2.29-2.33, 2 Pr 2.54
Ho  0.1704  0.6704  0.3408  8 H 2.19-2.29
Ho  0.8296  0.3296  0.6592  8 H 2.19-2.29

Record 3
First-principles (PBE-GGA) data for an optimized crystal structure of Pr4Ho2H, as listed in the Alexandria database.

Results
Density of states at the Fermi level ... 9.36 states/eV/f.u.
DFT total energy ... -31.0 eV per cell
ρ ... 6.8 g/cm³

Cell: 4.9954 4.9954 9.4653 Å, 74.70 74.70 90.00°
With the nearest neighbours (Å) after each atom.
Fractional positions:
Ho  0.6431  0.6431  0.7139  9 Pr 3.54
Ho  0.3569  0.3569  0.2861  9 Pr 3.54
Pr  0.5000  0.0000  0.0000  2 H 2.50
Pr  0.1552  0.1552  0.6895  1 H 2.73
Pr  0.8448  0.8448  0.3105  1 H 2.73
Pr  0.0000  0.5000  0.0000  2 H 2.50
H  0.0000  0.0000  0.0000  6 Pr 2.50-2.73

Record 4
First-principles (PBE-GGA) data for an optimized crystal structure of Pr5Ho3H12, as listed in the Alexandria database.

Results
Density of states at the Fermi level ... 12.13 states/eV/f.u.
DFT total energy ... -344.6 eV per cell
ρ ... 6.6 g/cm³

Cell: 11.6650 11.6650 11.6650 Å, 109.47 109.47 109.47°
With the nearest neighbours (Å) after each atom.
Fractional positions:
H  0.9316  0.0875  0.6618  1 H 2.22, 2 Ho 2.27-2.45, 2 Pr 2.32-2.35
H  0.5875  0.9257  0.6559  1 H 2.22, 2 Ho 2.27-2.45, 2 Pr 2.32-2.35
H  0.4125  0.0743  0.3441  1 H 2.22, 2 Ho 2.27-2.45, 2 Pr 2.32-2.35
H  0.0875  0.9316  0.1618  1 H 2.22, 2 Ho 2.27-2.45, 2 Pr 2.32-2.35
H  0.5743  0.2302  0.1618  1 H 2.22, 2 Ho 2.27-2.45, 2 Pr 2.32-2.35
H  0.4316  0.2698  0.3441  1 H 2.22, 2 Ho 2.27-2.45, 2 Pr 2.32-2.35
H  0.9125  0.8441  0.5743  1 H 2.22, 2 Ho 2.27-2.45, 2 Pr 2.32-2.35
H  0.7302  0.1618  0.0743  1 H 2.22, 2 Ho 2.27-2.45, 2 Pr 2.32-2.35
H  0.6618  0.5875  0.9316  1 H 2.22, 2 Ho 2.27-2.45, 2 Pr 2.32-2.35
H  0.1559  0.0684  0.7302  1 H 2.22, 2 Ho 2.27-2.45, 2 Pr 2.32-2.35
H  0.2302  0.5743  0.6618  1 H 2.22, 2 Ho 2.27-2.45, 2 Pr 2.32-2.35
H  0.8382  0.2698  0.4257  1 H 2.22, 2 Ho 2.27-2.45, 2 Pr 2.32-2.35
H  0.1559  0.0875  0.9257  1 H 2.22, 2 Ho 2.27-2.45, 2 Pr 2.32-2.35
H  0.6618  0.0743  0.2302  1 H 2.22, 2 Ho 2.27-2.45, 2 Pr 2.32-2.35
H  0.3382  0.9257  0.7698  1 H 2.22, 2 Ho 2.27-2.45, 2 Pr 2.32-2.35
H  0.6559  0.2302  0.5684  1 H 2.22, 2 Ho 2.27-2.45, 2 Pr 2.32-2.35
H  0.2698  0.8382  0.9257  1 H 2.22, 2 Ho 2.27-2.45, 2 Pr 2.32-2.35
H  0.9257  0.3382  0.2698  1 H 2.22, 2 Ho 2.27-2.45, 2 Pr 2.32-2.35
H  0.5875  0.6618  0.4316  1 H 2.22, 2 Ho 2.27-2.45, 2 Pr 2.32-2.35
H  0.8441  0.9316  0.2698  1 H 2.22, 2 Ho 2.27-2.45, 2 Pr 2.32-2.35
H  0.3441  0.5743  0.4125  1 H 2.22, 2 Ho 2.27-2.45, 2 Pr 2.32-2.35
H  0.1618  0.7302  0.5743  1 H 2.22, 2 Ho 2.27-2.45, 2 Pr 2.32-2.35
H  0.1618  0.4316  0.0875  1 H 2.22, 2 Ho 2.27-2.45, 2 Pr 2.32-2.35
H  0.8382  0.5684  0.9125  1 H 2.22, 2 Ho 2.27-2.45, 2 Pr 2.32-2.35
H  0.7698  0.3441  0.9316  1 H 2.22, 2 Ho 2.27-2.45, 2 Pr 2.32-2.35
H  0.7302  0.5684  0.1559  1 H 2.22, 2 Ho 2.27-2.45, 2 Pr 2.32-2.35
H  0.4257  0.7698  0.8382  1 H 2.22, 2 Ho 2.27-2.45, 2 Pr 2.32-2.35
H  0.4125  0.3382  0.5684  1 H 2.22, 2 Ho 2.27-2.45, 2 Pr 2.32-2.35
H  0.9257  0.5875  0.1559  1 H 2.22, 2 Ho 2.27-2.45, 2 Pr 2.32-2.35
H  0.4316  0.1618  0.5875  1 H 2.22, 2 Ho 2.27-2.45, 2 Pr 2.32-2.35
H  0.0875  0.1559  0.4257  1 H 2.22, 2 Ho 2.27-2.45, 2 Pr 2.32-2.35
H  0.3382  0.4125  0.0684  1 H 2.22, 2 Ho 2.27-2.45, 2 Pr 2.32-2.35
H  0.0684  0.1559  0.2302  1 H 2.22, 2 Ho 2.27-2.45, 2 Pr 2.32-2.35
H  0.7698  0.4257  0.3382  1 H 2.22, 2 Ho 2.27-2.45, 2 Pr 2.32-2.35
H  0.4257  0.6559  0.0875  1 H 2.22, 2 Ho 2.27-2.45, 2 Pr 2.32-2.35
H  0.0684  0.9125  0.3382  1 H 2.22, 2 Ho 2.27-2.45, 2 Pr 2.32-2.35
H  0.2698  0.4316  0.8441  1 H 2.22, 2 Ho 2.27-2.45, 2 Pr 2.32-2.35
H  0.2302  0.6559  0.0684  1 H 2.22, 2 Ho 2.27-2.45, 2 Pr 2.32-2.35
H  0.0743  0.6618  0.7302  1 H 2.22, 2 Ho 2.27-2.45, 2 Pr 2.32-2.35
H  0.6559  0.4257  0.5875  1 H 2.22, 2 Ho 2.27-2.45, 2 Pr 2.32-2.35
H  0.3441  0.7698  0.4316  1 H 2.22, 2 Ho 2.27-2.45, 2 Pr 2.32-2.35
H  0.9316  0.8441  0.7698  1 H 2.22, 2 Ho 2.27-2.45, 2 Pr 2.32-2.35
H  0.0743  0.4125  0.8441  1 H 2.22, 2 Ho 2.27-2.45, 2 Pr 2.32-2.35
H  0.5684  0.7302  0.6559  1 H 2.22, 2 Ho 2.27-2.45, 2 Pr 2.32-2.35
H  0.9125  0.0684  0.8382  1 H 2.22, 2 Ho 2.27-2.45, 2 Pr 2.32-2.35
H  0.8441  0.9125  0.0743  1 H 2.22, 2 Ho 2.27-2.45, 2 Pr 2.32-2.35
H  0.5684  0.8382  0.4125  1 H 2.22, 2 Ho 2.27-2.45, 2 Pr 2.32-2.35
H  0.5743  0.3441  0.9125  1 H 2.22, 2 Ho 2.27-2.45, 2 Pr 2.32-2.35
Pr  0.2500  0.8750  0.1250  4 H 2.32
Pr  0.6250  0.8750  0.2500  4 H 2.32
Pr  0.5000  0.5000  0.5000  6 H 2.35
Pr  0.0000  0.5000  0.0000  6 H 2.35
Pr  0.1250  0.7500  0.3750  4 H 2.32
Pr  0.0000  0.0000  0.0000  6 H 2.35
Pr  0.0000  0.5000  0.5000  6 H 2.35
Pr  0.5000  0.0000  0.5000  6 H 2.35
Pr  0.5000  0.5000  0.0000  6 H 2.35
Pr  0.8750  0.6250  0.7500  4 H 2.32
Pr  0.7500  0.1250  0.8750  4 H 2.32
Pr  0.0000  0.0000  0.5000  6 H 2.35
Pr  0.7500  0.6250  0.3750  4 H 2.32
Pr  0.3750  0.2500  0.1250  4 H 2.32
Pr  0.5000  0.0000  0.0000  6 H 2.35
Pr  0.3750  0.1250  0.7500  4 H 2.32
Pr  0.2500  0.3750  0.6250  4 H 2.32
Pr  0.8750  0.2500  0.6250  4 H 2.32
Pr  0.1250  0.3750  0.2500  4 H 2.32
Pr  0.6250  0.7500  0.8750  4 H 2.32
Ho  0.2500  0.1250  0.3750  8 H 2.27-2.45
Ho  0.8750  0.1250  0.2500  8 H 2.27-2.45
Ho  0.7500  0.8750  0.6250  8 H 2.27-2.45
Ho  0.3750  0.7500  0.6250  8 H 2.27-2.45
Ho  0.7500  0.3750  0.1250  8 H 2.27-2.45
Ho  0.1250  0.2500  0.8750  8 H 2.27-2.45
Ho  0.1250  0.8750  0.7500  8 H 2.27-2.45
Ho  0.8750  0.7500  0.1250  8 H 2.27-2.45
Ho  0.6250  0.2500  0.3750  8 H 2.27-2.45
Ho  0.3750  0.6250  0.2500  8 H 2.27-2.45
Ho  0.2500  0.6250  0.8750  8 H 2.27-2.45
Ho  0.6250  0.3750  0.7500  8 H 2.27-2.45

Record 5
First-principles (PBE-GGA) data for an optimized crystal structure of PrHoH2, as listed in the Alexandria database.

Results
Density of states at the Fermi level ... 2.22 states/eV/f.u.
DFT total energy ... -17.5 eV per cell
ρ ... 8.0 g/cm³

Cell: 3.5669 3.5669 6.1519 Å, 73.15 73.15 60.00°
With the nearest neighbours (Å) after each atom.
Fractional positions:
Pr  0.5000  0.5000  0.5000  6 H 2.61
Ho  0.0000  0.0000  0.0000  6 H 2.44
H  0.2585  0.2585  0.2246  3 Ho 2.44, 3 Pr 2.61
H  0.7415  0.7415  0.7754  3 Ho 2.44, 3 Pr 2.61

Record 6
First-principles (PBE-GGA) data for an optimized crystal structure of Pr2Ho2H, as listed in the Alexandria database.

Results
Density of states at the Fermi level ... 5.06 states/eV/f.u.
DFT total energy ... -22.9 eV per cell
ρ ... 7.7 g/cm³

Cell: 5.1019 5.0833 5.0833 Å, 90.00 90.00 90.00°
With the nearest neighbours (Å) after each atom.
Fractional positions:
Pr  0.5000  0.5000  0.5000  4 Pr 3.59, 8 Ho 3.60
Pr  0.5000  0.0000  0.0000  2 H 2.55
H  0.0000  0.0000  0.0000  4 Ho 2.54, 2 Pr 2.55
Ho  0.0000  0.0000  0.5000  2 H 2.54
Ho  0.0000  0.5000  0.0000  2 H 2.54